Below is a relaxed FeIO2F crystal, with properties calculated at the GGA+U level.

Calculated values
The calculation puts the total moment at 5.14 μB/cell. The value obtained for the total energy is -4.424 eV/atom.

Cell: 4.115 4.115 3.949 Å, 90.00 90.00 90.00°
Space group P4/mmm (No. 123)
Symmetry-distinct sites (fractional):
Fe 0.000 0.000 0.000 x1
I 0.500 0.500 0.500 x1
O 0.000 0.500 0.000 x2
F 0.000 0.000 0.500 x1